Compound: Ba2TeAuO6
Source: OQMD
Functional: PBE
Structure: relaxed

The structure belongs to space group Fm-3m (No. 225); the cell edges are 8.390, 8.390 and 8.390 Å and the angles 90.00°, 90.00° and 90.00°. The inequivalent atoms are Ba at (0.250, 0.250, 0.250), Te at (0.000, 0.000, 0.000), Au at (0.000, 0.000, 0.500) and O at (0.000, 0.000, 0.235).

Compound: Rb2TcTeSeS
Source: OQMD
Functional: PBE
Structure: relaxed

The calculation puts the magnetization at 3.105 μB/cell.

The structure belongs to space group P-1 (No. 2); the cell edges are 7.302, 7.897 and 9.237 Å and the angles 72.75°, 66.72° and 62.51°. The inequivalent atoms are Rb at (0.073, 0.216, 0.125), Rb at (0.278, 0.600, 0.335), Tc at (0.399, 0.063, 0.651), Te at (0.405, 0.804, 0.899), Se at (0.227, 0.010, 0.504) and S at (0.231, 0.360, 0.715).

Compound: Y2Er2CIBr4
Source: OQMD
Functional: PBE
Structure: relaxed

The calculation puts the magnetization at 24.566 μB/cell.

The structure belongs to space group C2/m (No. 12); the cell edges are 17.668, 3.840 and 8.437 Å and the angles 90.00°, 103.59° and 90.00°. The inequivalent atoms are Y at (0.140, 0.000, 0.071), Er at (0.000, 0.500, 0.190), C at (0.000, 0.000, 0.000), I at (0.000, 0.000, 0.500), Br at (0.165, 0.500, 0.329) and Br at (0.169, 0.500, 0.835).

Compound: ErBMoN2
Source: OQMD
Functional: PBE
Structure: relaxed

The calculation puts the magnetization at 0.000 μB/cell.

The structure belongs to space group P2_1/m (No. 11); the cell edges are 6.159, 3.295 and 6.620 Å and the angles 90.00°, 99.66° and 90.00°. The inequivalent atoms are Er at (0.136, 0.250, 0.330), B at (0.444, 0.750, 0.505), Mo at (0.424, 0.250, 0.783), N at (0.116, 0.250, 0.697) and N at (0.398, 0.250, 0.109).

Compound: HgGe2
Source: OQMD
Functional: PBE
Structure: relaxed

The structure belongs to space group Fd-3m (No. 227, origin choice 2); the cell edges are 8.087, 8.087 and 8.087 Å and the angles 90.00°, 90.00° and 90.00°. The inequivalent atoms are Hg at (0.125, 0.125, 0.125) and Ge at (0.000, 0.000, 0.500).

Compound: Tm5In4Ag
Source: OQMD
Functional: PBE
Structure: relaxed

The calculation puts the magnetization at 0.069 μB/cell.

The structure belongs to space group P4/mmm (No. 123); the cell edges are 3.538, 3.538 and 20.066 Å and the angles 90.00°, 90.00° and 90.00°. The inequivalent atoms are Tm at (0.000, 0.000, 0.000), Tm at (0.000, 0.000, 0.206), Tm at (0.000, 0.000, 0.410), In at (0.500, 0.500, 0.103), In at (0.500, 0.500, 0.309) and Ag at (0.500, 0.500, 0.500).

Compound: DyHoGa4Co2
Source: OQMD
Functional: PBE
Structure: relaxed

The calculation puts the magnetization at 0.018 μB/cell.

The structure belongs to space group Amm2 (No. 38); the cell edges are 6.857, 4.023 and 10.008 Å and the angles 90.00°, 90.00° and 90.00°. The inequivalent atoms are Dy at (0.000, 0.000, 0.000), Ho at (0.500, 0.000, 0.867), Ga at (0.196, 0.000, 0.283), Ga at (0.304, 0.000, 0.584), Co at (0.000, 0.000, 0.720) and Co at (0.500, 0.000, 0.148).

Compound: HoCo3
Source: OQMD
Functional: PBE
Structure: relaxed

The calculation puts the magnetization at 0.014 μB/cell. Its energy of formation is 0.2705 eV/atom.

The structure belongs to space group I4/mmm (No. 139); the cell edges are 3.828, 3.828 and 7.814 Å and the angles 90.00°, 90.00° and 90.00°. The inequivalent atoms are Ho at (0.000, 0.000, 0.000), Co at (0.000, 0.000, 0.500) and Co at (0.000, 0.500, 0.250).

Compound: AgGeIr
Source: OQMD
Functional: PBE
Structure: relaxed

The calculation puts the magnetization at 0.004 μB/cell.

The structure belongs to space group F-43m (No. 216); the cell edges are 5.942, 5.942 and 5.942 Å and the angles 90.00°, 90.00° and 90.00°. The inequivalent atoms are Ag at (0.000, 0.000, 0.000), Ge at (0.250, 0.250, 0.250) and Ir at (0.000, 0.000, 0.500).

Compound: ErInHgO3
Source: OQMD
Functional: PBE
Structure: relaxed

The calculation puts the magnetization at 0.003 μB/cell.

The structure belongs to space group Cmcm (No. 63); the cell edges are 3.432, 14.146 and 8.268 Å and the angles 90.00°, 90.00° and 90.00°. The inequivalent atoms are Er at (0.000, 0.000, 0.000), In at (0.000, 0.352, 0.250), Hg at (0.000, 0.307, 0.750), O at (0.000, 0.053, 0.750) and O at (0.000, 0.398, 0.519).

Compound: Pr3Zr3Te2Os
Source: OQMD
Functional: PBE
Structure: relaxed

The calculation puts the magnetization at 0.011 μB/cell. The energy above the most stable polymorph in this dataset comes out at 0 meV/atom.

The structure belongs to space group P-62m (No. 189); the cell edges are 8.2065, 8.2065 and 4.0464 Å and the angles 90.00°, 90.00° and 120.00°. The inequivalent atoms are Pr at (0.0000, 0.4039, 0.0000), Zr at (0.0000, 0.7730, 0.5000), Te at (0.3333, 0.6667, 0.5000) and Os at (0.0000, 0.0000, 0.0000).

Compound: Na2TaReP6
Source: OQMD
Functional: PBE
Structure: relaxed

The calculation puts the magnetization at 0.001 μB/cell.

The structure belongs to space group I4/mmm (No. 139); the cell edges are 6.739, 6.739 and 9.523 Å and the angles 90.00°, 90.00° and 90.00°. The inequivalent atoms are Na at (0.000, 0.500, 0.250), Ta at (0.000, 0.000, 0.000), Re at (0.000, 0.000, 0.500), P at (0.000, 0.000, 0.254) and P at (0.246, 0.246, 0.500).

no.,final energy (eV per atom)
1,-5.545
2,-4.505
3,-5.310
4,-8.300
5,-2.832
6,-4.025
7,-4.973
8,-6.204
9,-5.294
10,-5.644
11,-7.057
12,-5.818